1.
Here is a geometry-optimized Nd4Mo structure from the Alexandria database. Energies are from PBE.

a = 5.5879 Å, b = 5.5879 Å, c = 5.5879 Å
α = 90.00°, β = 90.00°, γ = 90.00°
With the nearest neighbours (Å) after each atom.
Space group Pm-3m (No. 221)
One atom of each set of equivalent atoms:
Nd 0.0000 0.0000 0.0000 x1  12 Nd 3.95
Nd 0.0000 0.5000 0.5000 x3  2 Mo 2.79
Mo 0.5000 0.5000 0.5000 x1  6 Nd 2.79

Values from the calculation:
total energy = -0.40998 Ry per atom
density of states at the Fermi level = 8.820 states/eV/f.u.

---

2.
Here is a geometry-optimized NdMo4 structure from the Alexandria database. Energies are from PBE.

a = 4.7812 Å, b = 4.7812 Å, c = 4.7812 Å
α = 90.00°, β = 90.00°, γ = 90.00°
With the nearest neighbours (Å) after each atom.
Space group Pm-3m (No. 221)
One atom of each set of equivalent atoms:
Nd 0.0000 0.0000 0.0000 x1  6 Mo 2.39
Mo 0.0000 0.0000 0.5000 x3  2 Nd 2.39
Mo 0.5000 0.5000 0.5000 x1  12 Mo 3.38

Values from the calculation:
total energy = -0.49965 Ry per atom
density of states at the Fermi level = 6.118 states/eV/f.u.

---

3.
Here is a geometry-optimized NdNiMo structure from the Alexandria database. Energies are from PBE.

a = 4.7666 Å, b = 4.7744 Å, c = 10.3007 Å
α = 90.00°, β = 90.00°, γ = 90.00°
With the nearest neighbours (Å) after each atom.
Space group Cmmm (No. 65)
One atom of each set of equivalent atoms:
Nd 0.0000 0.0000 0.1733 x4  4 Ni 2.98, 4 Mo 3.26
Ni 0.0000 0.0000 0.5000 x2  8 Mo 2.64-2.65
Ni 0.0000 0.5000 0.0000 x2  8 Nd 2.98
Mo 0.0000 0.5000 0.3887 x4  1 Mo 2.29

Values from the calculation:
total energy = -0.50978 Ry per atom
density of states at the Fermi level = 3.704 states/eV/f.u.